[1]
! WAuBr PBE-GGA optimized geometry; values from VASP
&SYSTEM
  ibrav = 0, nat = 3, ntyp = 3
/
ATOMIC_SPECIES
Br 79.90 Br.upf
W 183.84 W.upf
Au 196.97 Au.upf
ATOMIC_POSITIONS crystal
Br 0.500 0.500 0.500
W 0.750 0.750 0.750
Au 0.000 0.000 0.000
CELL_PARAMETERS angstrom
-2.867 0.921 -3.268
-3.662 -2.466 -0.504
-3.985 1.718 0.958
! **Energy relative to the lowest polymorph listed for this composition**: 563.4 meV per atom
! **Formation energy from raw total energies**: 25.07 kcal/mol of atoms
! **Symmetry**: F-43m (216)

***

[2]
! LaH3Pt PBE-GGA optimized geometry; values from VASP
&SYSTEM
  ibrav = 0, nat = 20, ntyp = 3
/
ATOMIC_SPECIES
La 138.91 La.upf
H 1.01 H.upf
Pt 195.08 Pt.upf
ATOMIC_POSITIONS crystal
La 0.000 0.000 0.500
H 0.884 0.250 0.631
Pt 0.001 0.750 0.090
H 0.995 0.389 0.113
H 0.495 0.111 0.387
H 0.116 0.750 0.369
Pt 0.501 0.750 0.410
H 0.495 0.389 0.387
H 0.505 0.611 0.613
Pt 0.999 0.250 0.910
La 0.500 0.000 0.000
H 0.384 0.250 0.869
H 0.505 0.889 0.613
H 0.005 0.611 0.887
H 0.616 0.750 0.131
La 0.500 0.500 0.000
H 0.995 0.111 0.113
H 0.005 0.889 0.887
Pt 0.499 0.250 0.590
La 0.000 0.500 0.500
CELL_PARAMETERS angstrom
4.577 0.000 0.000
0.000 9.165 0.000
0.000 0.000 6.027
! **Symmetry**: Pnma (62)
! **E**: -4.704 eV/atom

***

[3]
! Cs2UCdS5 PBE-GGA optimized geometry; values from VASP
&SYSTEM
  ibrav = 0, nat = 18, ntyp = 4
/
ATOMIC_SPECIES
S 32.06 S.upf
Cs 132.91 Cs.upf
Cd 112.41 Cd.upf
U 238.03 U.upf
ATOMIC_POSITIONS crystal
S 0.494 0.987 0.302
Cs 0.892 0.783 0.179
Cs 0.872 0.744 0.809
Cd 0.570 0.141 0.939
U 0.210 0.419 0.018
S 0.915 0.831 0.546
S 0.701 0.402 0.902
S 0.673 0.345 0.501
S 0.283 0.567 0.629
S 0.717 0.433 0.129
Cd 0.430 0.859 0.439
S 0.085 0.169 0.046
S 0.299 0.598 0.402
S 0.327 0.655 0.001
Cs 0.128 0.256 0.309
S 0.506 0.013 0.802
Cs 0.108 0.217 0.679
U 0.790 0.581 0.518
CELL_PARAMETERS angstrom
4.111 0.000 0.000
-2.055 10.226 0.000
0.000 0.000 14.698
! **Formation energy from raw total energies**: -24.33 kcal/mol of atoms
! **Symmetry**: Cmc2_1 (36)

***

[4]
! Pr3Sm8Er2 PBE-GGA optimized geometry; values from VASP
&SYSTEM
  ibrav = 0, nat = 13, ntyp = 3
/
ATOMIC_SPECIES
Er 167.26 Er.upf
Sm 150.36 Sm.upf
Pr 140.91 Pr.upf
ATOMIC_POSITIONS crystal
Er 0.499 0.241 0.483
Sm 0.000 0.136 0.272
Sm 0.500 0.182 0.782
Pr 0.500 0.000 0.000
Sm 0.001 0.674 0.349
Sm 0.999 0.326 0.651
Sm 0.500 0.599 0.782
Sm 0.500 0.818 0.218
Sm 0.500 0.401 0.218
Sm 0.000 0.864 0.728
Er 0.501 0.759 0.517
Pr 0.000 0.709 0.000
Pr 0.000 0.291 0.000
CELL_PARAMETERS angstrom
-3.665 -2.233 -3.869
-4.260 -3.003 5.768
-3.413 10.020 -2.542
! **Energy relative to the lowest polymorph listed for this composition**: 69.7 meV per atom
! **Formation energy from the elements**: 0.23 eV/atom
! **Symmetry**: C2/m (12)

***

| no. | Fermi-level density of states (states/eV per atom) |
| --- | --- |
| 1 | 0.8622 |
| 2 | 0.1377 |
| 3 | 0.3940 |
| 4 | 1.5547 |